Record 1
# Mg6ZnNi, optimized geometry, DFT PBE
data_Mg6ZnNi
_chemical_formula_sum 'Mg6 Zn1 Ni1'
_space_group_name_H-M_alt 'P 1'
_space_group_IT_number 1
_cell_length_a 6.052
_cell_length_b 6.052
_cell_length_c 4.770
_cell_angle_alpha 90.00
_cell_angle_beta 90.00
_cell_angle_gamma 119.43
loop_
_space_group_symop_operation_xyz
'x,y,z'
loop_
_atom_site_label
_atom_site_fract_x
_atom_site_fract_y
_atom_site_fract_z
_atom_site_occupancy
Ni1 0.332 0.668 0.500 1
Mg1 0.333 0.150 0.500 1
Mg2 0.850 0.667 0.500 1
Mg3 0.641 0.829 0.000 1
Mg4 0.837 0.163 0.500 1
Mg5 0.664 0.336 0.000 1
Mg6 0.171 0.359 0.000 1
Zn1 0.171 0.829 0.000 1
# - E_form (meV/atom) = 1.4
# - total magnetic moment (μB per atom) = 0.000
# - DOS at the Fermi energy (states/eV per cell) = 2.22

***

Record 2
# Mg3Zn4Ni4, optimized geometry, DFT PBE
data_Mg3Zn4Ni4
_chemical_formula_sum 'Mg3 Zn4 Ni4'
_space_group_name_H-M_alt 'P 1'
_space_group_IT_number 1
_cell_length_a 6.230
_cell_length_b 6.230
_cell_length_c 6.230
_cell_angle_alpha 109.47
_cell_angle_beta 109.47
_cell_angle_gamma 109.47
loop_
_space_group_symop_operation_xyz
'x,y,z'
loop_
_atom_site_label
_atom_site_fract_x
_atom_site_fract_y
_atom_site_fract_z
_atom_site_occupancy
Ni1 0.620 0.000 0.000 1
Ni2 0.000 0.620 0.000 1
Ni3 0.380 0.380 0.380 1
Ni4 0.000 0.000 0.620 1
Mg1 0.500 0.000 0.500 1
Mg2 0.500 0.500 0.000 1
Mg3 0.000 0.500 0.500 1
Zn1 0.261 0.000 0.000 1
Zn2 0.000 0.261 0.000 1
Zn3 0.000 0.000 0.261 1
Zn4 0.739 0.739 0.739 1
# - E_form (meV/atom) = 124.7
# - total magnetic moment (μB per atom) = 0.000
# - DOS at the Fermi energy (states/eV per cell) = 5.11

***

Record 3
# Mg6ZnNi, optimized geometry, DFT PBE
data_Mg6ZnNi
_chemical_formula_sum 'Mg6 Zn1 Ni1'
_space_group_name_H-M_alt 'P 1'
_space_group_IT_number 1
_cell_length_a 6.056
_cell_length_b 6.056
_cell_length_c 4.737
_cell_angle_alpha 90.00
_cell_angle_beta 90.00
_cell_angle_gamma 118.98
loop_
_space_group_symop_operation_xyz
'x,y,z'
loop_
_atom_site_label
_atom_site_fract_x
_atom_site_fract_y
_atom_site_fract_z
_atom_site_occupancy
Zn1 0.166 0.834 0.500 1
Mg1 0.666 0.836 0.500 1
Mg2 0.347 0.169 0.000 1
Mg3 0.330 0.670 0.000 1
Mg4 0.831 0.653 0.000 1
Mg5 0.826 0.174 0.000 1
Mg6 0.164 0.334 0.500 1
Ni1 0.668 0.332 0.500 1
# - E_form (meV/atom) = 5.1
# - total magnetic moment (μB per atom) = 0.000
# - DOS at the Fermi energy (states/eV per cell) = 2.25